(1)
Material: ZrCSe2Br
Method: DFT, GGA-PBE
State: optimized geometry

**Energy above the most stable polymorph in this dataset**: 0 meV/atom
**Uncorrected formation energy**: 3.5 eV per formula unit
**Space-group type**: P4/mmm
**Magnetization**: 0.000 μB/atom

a = 4.487 Å, b = 4.487 Å, c = 4.480 Å
α = 90.00°, β = 90.00°, γ = 90.00°
Atoms (fractional coordinates):
Se 0.500 0.000 0.000
Zr 0.500 0.500 0.500
C 0.000 0.000 0.000
Br 0.000 0.000 0.500
Se 0.000 0.500 0.000



(2)
Material: SiCBr
Method: DFT, GGA-PBE
State: optimized geometry

**Energy above the most stable polymorph in this dataset**: 0 meV/atom
**Uncorrected formation energy**: -0.3 eV per formula unit
**Space-group type**: P-1
**Magnetization**: 0.000 μB/atom

a = 3.256 Å, b = 4.130 Å, c = 10.108 Å
α = 98.57°, β = 90.13°, γ = 113.20°
Atoms (fractional coordinates):
C 0.603 0.705 0.022
Si 0.783 0.067 0.904
C 0.397 0.295 0.978
Br 0.683 0.871 0.685
Br 0.317 0.129 0.315
Si 0.217 0.933 0.096



(3)
Material: SiCBr3
Method: DFT, GGA-PBE
State: optimized geometry

**Energy above the most stable polymorph in this dataset**: 0 meV/atom
**Uncorrected formation energy**: 6.2 eV per formula unit
**Space-group type**: Pm-3m
**Magnetization**: 0.000 μB/atom

a = 4.718 Å, b = 4.718 Å, c = 4.718 Å
α = 90.00°, β = 90.00°, γ = 90.00°
Atoms (fractional coordinates):
Br 0.500 0.000 0.000
Br 0.000 0.500 0.000
Si 0.500 0.500 0.500
C 0.000 0.000 0.000
Br 0.000 0.000 0.500



(4)
Material: SiCBr
Method: DFT, GGA-PBE
State: optimized geometry

**Energy above the most stable polymorph in this dataset**: 216 meV/atom
**Uncorrected formation energy**: 0.4 eV per formula unit
**Space-group type**: P1
**Magnetization**: 0.000 μB/atom

a = 3.211 Å, b = 4.190 Å, c = 9.667 Å
α = 86.92°, β = 85.47°, γ = 73.60°
Atoms (fractional coordinates):
C 0.525 0.013 0.059
Br 0.718 0.174 0.417
Si 0.703 0.264 0.191
Br 0.272 0.706 0.776
C 0.196 0.379 0.101
Si 0.116 0.796 0.002



(5)
Material: SiC2Br
Method: DFT, GGA-PBE
State: optimized geometry

**Energy above the most stable polymorph in this dataset**: 0 meV/atom
**Uncorrected formation energy**: 6.0 eV per formula unit
**Space-group type**: I-42d
**Magnetization**: 0.000 μB/atom

a = 5.148 Å, b = 5.148 Å, c = 5.687 Å
α = 63.09°, β = 63.09°, γ = 90.00°
Atoms (fractional coordinates):
C 0.875 0.772 0.750
Si 0.250 0.750 0.500
C 0.375 0.478 0.750
Br 0.750 0.250 0.500
C 0.228 0.625 0.250
Br 0.000 0.000 0.000
C 0.522 0.125 0.250
Si 0.500 0.500 0.000



(6)
Material: SiCBr
Method: DFT, GGA-PBE
State: optimized geometry

**Energy above the most stable polymorph in this dataset**: 37 meV/atom
**Uncorrected formation energy**: -0.2 eV per formula unit
**Space-group type**: P-1
**Magnetization**: 0.000 μB/atom

a = 3.282 Å, b = 5.142 Å, c = 9.085 Å
α = 100.54°, β = 100.16°, γ = 90.00°
Atoms (fractional coordinates):
Si 0.465 0.281 0.928
C 0.984 0.111 0.968
C 0.016 0.889 0.032
Br 0.655 0.681 0.317
Br 0.345 0.319 0.683
Si 0.535 0.719 0.072



(7)
Material: SiC2Br
Method: DFT, GGA-PBE
State: optimized geometry

**Energy above the most stable polymorph in this dataset**: 1384 meV/atom
**Uncorrected formation energy**: 11.5 eV per formula unit
**Space-group type**: Fm-3m
**Magnetization**: 0.000 μB/atom

a = 4.117 Å, b = 4.117 Å, c = 4.117 Å
α = 60.00°, β = 60.00°, γ = 60.00°
Atoms (fractional coordinates):
Br 0.500 0.500 0.500
Si 0.000 0.000 0.000
C 0.250 0.250 0.250
C 0.750 0.750 0.750



(8)
Material: SiCBr
Method: DFT, GGA-PBE
State: optimized geometry

**Energy above the most stable polymorph in this dataset**: 20 meV/atom
**Uncorrected formation energy**: -0.2 eV per formula unit
**Space-group type**: C2/m
**Magnetization**: 0.000 μB/atom

a = 4.511 Å, b = 4.019 Å, c = 17.556 Å
α = 90.00°, β = 96.29°, γ = 90.00°
Atoms (fractional coordinates):
C 0.000 0.668 0.500
Si 0.256 0.000 0.466
Br 0.303 0.000 0.341
Si 0.744 0.000 0.534
Br 0.303 0.500 0.841
C 0.000 0.332 0.500
C 0.000 0.832 0.000
Si 0.744 0.500 0.034
Br 0.697 0.500 0.159
Si 0.256 0.500 0.966
C 0.000 0.168 0.000
Br 0.697 0.000 0.659



(9)
Material: SiC3Br
Method: DFT, GGA-PBE
State: optimized geometry

**Energy above the most stable polymorph in this dataset**: 1253 meV/atom
**Uncorrected formation energy**: 18.1 eV per formula unit
**Space-group type**: Pm-3m
**Magnetization**: 0.000 μB/atom

a = 3.954 Å, b = 3.954 Å, c = 3.954 Å
α = 90.00°, β = 90.00°, γ = 90.00°
Atoms (fractional coordinates):
C 0.500 0.000 0.000
C 0.000 0.000 0.500
Si 0.500 0.500 0.500
C 0.000 0.500 0.000
Br 0.000 0.000 0.000



(10)
Material: Si2CBr
Method: DFT, GGA-PBE
State: optimized geometry

**Energy above the most stable polymorph in this dataset**: 0 meV/atom
**Uncorrected formation energy**: 3.1 eV per formula unit
**Space-group type**: I-42d
**Magnetization**: 0.000 μB/atom

a = 4.890 Å, b = 4.890 Å, c = 6.860 Å
α = 69.12°, β = 69.12°, γ = 90.00°
Atoms (fractional coordinates):
Br 0.000 0.000 0.000
Si 0.375 0.555 0.750
Si 0.305 0.625 0.250
C 0.250 0.750 0.500
Br 0.750 0.250 0.500
Si 0.875 0.695 0.750
C 0.500 0.500 0.000
Si 0.445 0.125 0.250



(11)
Material: SiCBr
Method: DFT, GGA-PBE
State: optimized geometry

**Energy above the most stable polymorph in this dataset**: 409 meV/atom
**Uncorrected formation energy**: 1.0 eV per formula unit
**Space-group type**: Pm
**Magnetization**: 0.000 μB/atom

a = 3.097 Å, b = 7.540 Å, c = 3.097 Å
α = 90.00°, β = 119.98°, γ = 90.00°
Atoms (fractional coordinates):
Br 0.380 0.500 0.660
C 0.045 0.000 0.004
Si 0.379 0.000 0.671



(12)
Material: Si3CBr
Method: DFT, GGA-PBE
State: optimized geometry

**Energy above the most stable polymorph in this dataset**: 1410 meV/atom
**Uncorrected formation energy**: 13.4 eV per formula unit
**Space-group type**: Pm-3m
**Magnetization**: 0.099 μB/atom

a = 4.974 Å, b = 4.974 Å, c = 4.974 Å
α = 90.00°, β = 90.00°, γ = 90.00°
Each line ends with the local moment (μB).
Atoms (fractional coordinates):
Si 0.500 0.000 0.000  -0.04
Si 0.000 0.000 0.500  -0.03
Br 0.000 0.000 0.000  -0.01
C 0.500 0.500 0.500  0.43
Si 0.000 0.500 0.000  -0.03



(13)
Material: Si2CBr
Method: DFT, GGA-PBE
State: optimized geometry

**Energy above the most stable polymorph in this dataset**: 1010 meV/atom
**Uncorrected formation energy**: 7.2 eV per formula unit
**Space-group type**: Fm-3m
**Magnetization**: 0.000 μB/atom

a = 4.410 Å, b = 4.410 Å, c = 4.410 Å
α = 60.00°, β = 60.00°, γ = 60.00°
Atoms (fractional coordinates):
C 0.000 0.000 0.000
Si 0.250 0.250 0.250
Br 0.500 0.500 0.500
Si 0.750 0.750 0.750



(14)
Material: Si3CBr
Method: DFT, GGA-PBE
State: optimized geometry

**Energy above the most stable polymorph in this dataset**: 0 meV/atom
**Uncorrected formation energy**: 6.3 eV per formula unit
**Space-group type**: Pm-3m
**Magnetization**: 0.000 μB/atom

a = 4.297 Å, b = 4.297 Å, c = 4.297 Å
α = 90.00°, β = 90.00°, γ = 90.00°
Atoms (fractional coordinates):
C 0.000 0.000 0.000
Si 0.000 0.500 0.000
Si 0.500 0.000 0.000
Si 0.000 0.000 0.500
Br 0.500 0.500 0.500